NpNbV: relaxed, GGA-PBE.

a b c (Å): 5.0245 2.6508 7.6744
angles (deg): 90.00 90.00 90.00
With the nearest neighbours (Å) after each atom.
Space group Pmma (No. 51)
Symmetry-distinct sites (fractional):
Np 0.0000 0.0000 0.0000 x2  4 Np 2.51-2.65, 2 V 2.80
Nb 0.2500 0.5000 0.3587 x2  2 Nb 2.65, 6 V 2.76-2.85
V 0.2500 0.0000 0.6746 x2  2 V 2.65, 6 Nb 2.76-2.85, 2 Np 2.80

Output
DOS(E_F) in states/eV per cell: 11.76
E_form in kJ per mole of atoms: 40.40
Energy above the lowest structure with this stoichiometry in meV per atom: 36
V in Å³/cell: 102.21

TaTiW4: relaxed, GGA-PBE.

a b c (Å): 7.4880 7.4880 7.4880
angles (deg): 90.00 90.00 90.00
With the nearest neighbours (Å) after each atom.
Space group F-43m (No. 216)
Symmetry-distinct sites (fractional):
Ta 0.0000 0.0000 0.0000 x4  12 W 3.10, 4 Ti 3.24
Ti 0.2500 0.2500 0.7500 x4  12 W 3.10, 4 Ta 3.24
W 0.1250 0.1250 0.3750 x16  6 W 2.65

Output
DOS(E_F) in states/eV per cell: 17.29
E_form in kJ per mole of atoms: 2.93
Energy above the lowest structure with this stoichiometry in meV per atom: 126
V in Å³/cell: 419.85

Er2ScTl: relaxed, GGA-PBE.

a b c (Å): 4.7324 4.7324 4.6966
angles (deg): 90.00 90.00 90.00
With the nearest neighbours (Å) after each atom.
Space group P4/mmm (No. 123)
Symmetry-distinct sites (fractional):
Er 0.0000 0.5000 0.0000 x2  4 Tl 3.33, 4 Sc 3.33, 4 Er 3.35
Sc 0.0000 0.0000 0.5000 x1  8 Er 3.33, 4 Tl 3.35
Tl 0.5000 0.5000 0.5000 x1  8 Er 3.33, 4 Sc 3.35

Output
DOS(E_F) in states/eV per cell: 4.58
E_form in kJ per mole of atoms: -16.16
Energy above the lowest structure with this stoichiometry in meV per atom: 8
V in Å³/cell: 105.18

LiZnCo2: relaxed, GGA-PBE.

a b c (Å): 2.8701 3.9665 8.2640
angles (deg): 90.00 90.00 90.00
With the nearest neighbours (Å) after each atom.
Space group Immm (No. 71)
Symmetry-distinct sites (fractional):
Li 0.0000 0.0000 0.0000 x2  4 Zn 2.45, 4 Co 2.52
Zn 0.0000 0.0000 0.5000 x2  4 Li 2.45, 4 Co 2.51
Co 0.0000 0.5000 0.2487 x4  4 Co 2.45, 2 Zn 2.51, 2 Li 2.52

Output
DOS(E_F) in states/eV per cell: 6.25
E_form in kJ per mole of atoms: 5.71
V in Å³/cell: 94.08

Al12Fe6Mo: relaxed, GGA-PBE.

a b c (Å): 8.1183 8.1183 8.1183
angles (deg): 90.00 90.00 90.00
With the nearest neighbours (Å) after each atom.
Space group Im-3 (No. 204)
Symmetry-distinct sites (fractional):
Al 0.0000 0.1775 0.2776 x24  3 Fe 2.34-2.57
Fe 0.0000 0.3606 0.5000 x12  1 Fe 2.26, 2 Al 2.34
Mo 0.0000 0.0000 0.0000 x2  12 Al 2.67

Output
DOS(E_F) in states/eV per cell: 27.28
E_form in kJ per mole of atoms: -18.87
V in Å³/cell: 535.05

Co2PRh: relaxed, GGA-PBE.

a b c (Å): 3.4725 3.4725 17.1961
angles (deg): 90.00 90.00 90.00
With the nearest neighbours (Å) after each atom.
Space group I-42d (No. 122)
Symmetry-distinct sites (fractional):
Co 0.2138 0.2500 0.1250 x8  2 Co 2.28, 2 P 2.43, 2 Rh 2.52
P 0.0000 0.0000 0.0000 x4  4 Co 2.43, 4 Rh 2.46
Rh 0.0000 0.0000 0.5000 x4  4 P 2.46, 4 Co 2.52

Output
DOS(E_F) in states/eV per cell: 19.84
E_form in kJ per mole of atoms: 14.24
V in Å³/cell: 207.35

Pm2Tm2Pd3: relaxed, GGA-PBE.

a b c (Å): 3.9084 6.9303 7.3043
angles (deg): 96.61 105.41 106.33
With the nearest neighbours (Å) after each atom.
Space group P-1 (No. 2)
Symmetry-distinct sites (fractional):
Pm 0.1921 0.2767 0.1081 x2  5 Pd 2.85-3.08
Tm 0.0997 0.7748 0.4245 x2  5 Pd 2.80-2.92
Pd 0.4277 0.0512 0.8042 x2  3 Tm 2.92, 1 Pd 2.97, 4 Pm 3.05-3.08
Pd 0.5000 0.5000 0.5000 x1  4 Tm 2.80, 2 Pm 2.85

Output
DOS(E_F) in states/eV per cell: 3.98
E_form in kJ per mole of atoms: -68.43
V in Å³/cell: 179.15

Sr2AcCd: relaxed, GGA-PBE.

a b c (Å): 4.1229 4.1229 35.2665
angles (deg): 90.00 90.00 120.00
With the nearest neighbours (Å) after each atom.
Space group R3m (No. 160, hexagonal axes)
Symmetry-distinct sites (fractional):
Sr 0.0000 0.0000 0.0000 x3  3 Cd 3.47
Sr 0.0000 0.0000 0.1911 x3  3 Cd 3.45
Ac 0.0000 0.0000 0.4295 x3  6 Sr 4.11-4.14, 6 Ac 4.12
Cd 0.0000 0.0000 0.5952 x3  6 Sr 3.45-3.47

Output
DOS(E_F) in states/eV per cell: 13.39
E_form in kJ per mole of atoms: -3.88
Energy above the lowest structure with this stoichiometry in meV per atom: 62
V in Å³/cell: 519.15